VASP calculation (GGA-PBE) on Pm2Ni3P4Ru after structural relaxation.

a b c (Å): 4.0287 4.0287 9.3949
angles (deg): 90.00 90.00 90.00
With the nearest neighbours (Å) after each atom.
Fractional coordinates of all 10 atoms:
1 Pm 0.0000 0.5000 0.2398  8 P 3.02-3.07, 7 Ni 3.08-3.33, 2 Ru 3.17
2 Pm 0.5000 0.0000 0.7602  8 P 3.02-3.07, 7 Ni 3.08-3.33, 2 Ru 3.17
3 Ni 0.0000 0.5000 0.8855  5 P 2.28-2.33
4 Ni 0.5000 0.0000 0.1145  5 P 2.28-2.33
5 Ni 0.5000 0.5000 0.5000  4 P 2.39
6 P 0.0000 0.0000 0.0000  4 Ni 2.28
7 P 0.0000 0.5000 0.6375  3 Ni 2.33-2.39, 2 Ru 2.39
8 P 0.5000 0.0000 0.3625  3 Ni 2.33-2.39, 2 Ru 2.39
9 P 0.5000 0.5000 0.0000  4 Ni 2.28
10 Ru 0.0000 0.0000 0.5000  4 P 2.39

Results
For the formation energy, the calculation gives -0.973 eV/atom. The final energy comes out at -6.749 eV/atom.